[1]
DFT (meta-GGA SCAN) results for a PBEsol-optimized structure of Ba2CaReO6. Values from VASP.

Uncorrected formation energy ... -2.726 eV per atom
M_tot ... 1.0 μB per formula unit

Quantum ESPRESSO input file:
```
&SYSTEM
  ibrav = 0, nat = 10, ntyp = 4
/
ATOMIC_SPECIES
Ca 40.08 Ca.upf
O 16.00 O.upf
Ba 137.33 Ba.upf
Re 186.21 Re.upf
CELL_PARAMETERS angstrom
-1.638 4.715 -3.149
-4.082 -3.300 2.712
-2.875 2.135 4.691
ATOMIC_POSITIONS crystal
Ca 0.500 0.000 0.500
O 0.755 0.000 0.786
O 0.770 0.540 0.230
O 0.786 0.000 0.245
O 0.245 0.000 0.214
O 0.214 0.000 0.755
O 0.230 0.460 0.770
Ba 0.750 0.500 0.750
Ba 0.250 0.500 0.250
Re 0.000 0.000 0.000
```

=====

[2]
DFT (meta-GGA SCAN) results for a PBEsol-optimized structure of LiTb5Sn3. Values from VASP.

Formation enthalpy at 0 K ... -6.11 eV/f.u.
M_tot ... 2.7 μB per formula unit

Quantum ESPRESSO input file:
```
&SYSTEM
  ibrav = 0, nat = 18, ntyp = 3
/
ATOMIC_SPECIES
Sn 118.71 Sn.upf
Tb 158.93 Tb.upf
Li 6.94 Li.upf
CELL_PARAMETERS angstrom
6.362 0.000 0.000
0.000 9.177 0.000
0.000 -4.588 7.947
ATOMIC_POSITIONS crystal
Sn 0.250 0.644 0.644
Sn 0.250 0.000 0.356
Sn 0.750 0.644 0.000
Sn 0.250 0.356 0.000
Sn 0.750 0.000 0.644
Sn 0.750 0.356 0.356
Tb 0.000 0.333 0.667
Tb 0.000 0.667 0.333
Tb 0.500 0.667 0.333
Tb 0.250 0.696 0.000
Tb 0.750 0.304 0.000
Tb 0.250 0.304 0.304
Tb 0.750 0.000 0.304
Tb 0.750 0.696 0.696
Tb 0.250 0.000 0.696
Tb 0.500 0.333 0.667
Li 0.500 0.000 0.000
Li 0.000 0.000 0.000
```

=====

[3]
DFT (meta-GGA SCAN) results for a PBEsol-optimized structure of MnCrAg3. Values from VASP.

Formation enthalpy at 0 K ... 4.75 eV/f.u.
M_tot ... 9.1 μB per formula unit

Quantum ESPRESSO input file:
```
&SYSTEM
  ibrav = 0, nat = 5, ntyp = 3
/
ATOMIC_SPECIES
Ag 107.87 Ag.upf
Cr 52.00 Cr.upf
Mn 54.94 Mn.upf
CELL_PARAMETERS angstrom
-0.757 -4.509 -1.351
-1.243 -1.129 4.462
-4.540 1.061 -0.996
ATOMIC_POSITIONS crystal
Ag 0.000 0.500 0.000
Ag 0.500 0.000 0.000
Ag 0.000 0.000 0.500
Cr 0.500 0.500 0.500
Mn 0.000 0.000 0.000
```

=====

[4]
DFT (meta-GGA SCAN) results for a PBEsol-optimized structure of TaInSe. Values from VASP.

Uncorrected formation energy ... -0.263 eV per atom
ΔE to the lowest computed polymorph ... 0 meV per atom
M_tot ... 0.0 μB per formula unit

Quantum ESPRESSO input file:
```
&SYSTEM
  ibrav = 0, nat = 3, ntyp = 3
/
ATOMIC_SPECIES
In 114.82 In.upf
Se 78.96 Se.upf
Ta 180.95 Ta.upf
CELL_PARAMETERS angstrom
3.252 0.000 0.000
-1.626 2.816 0.000
0.000 0.000 6.534
ATOMIC_POSITIONS crystal
In 0.000 0.000 0.015
Se 0.333 0.667 0.624
Ta 0.667 0.333 0.361
```

=====

[5]
DFT (meta-GGA SCAN) results for a PBEsol-optimized structure of ZrScReAg2. Values from VASP.

Formation enthalpy at 0 K ... 5.58 eV/f.u.
M_tot ... 1.5 μB per formula unit

Quantum ESPRESSO input file:
```
&SYSTEM
  ibrav = 0, nat = 5, ntyp = 4
/
ATOMIC_SPECIES
Re 186.21 Re.upf
Sc 44.96 Sc.upf
Zr 91.22 Zr.upf
Ag 107.87 Ag.upf
CELL_PARAMETERS angstrom
4.616 0.000 0.000
0.000 4.993 0.000
0.000 0.000 4.993
ATOMIC_POSITIONS crystal
Re 0.000 0.000 0.000
Sc 0.500 0.000 0.000
Zr 0.500 0.500 0.500
Ag 0.000 0.500 0.000
Ag 0.000 0.000 0.500
```

=====

[6]
DFT (meta-GGA SCAN) results for a PBEsol-optimized structure of CoTc2. Values from VASP.

Formation enthalpy at 0 K ... 0.38 eV/f.u.
ΔE to the lowest computed polymorph ... 78 meV per atom
M_tot ... 0.0 μB per formula unit

Quantum ESPRESSO input file:
```
&SYSTEM
  ibrav = 0, nat = 9, ntyp = 2
/
ATOMIC_SPECIES
Co 58.93 Co.upf
Tc 98.00 Tc.upf
CELL_PARAMETERS angstrom
-1.894 0.383 -1.786
-0.739 -6.980 -0.713
-3.822 3.479 4.801
ATOMIC_POSITIONS crystal
Co 0.000 0.667 0.333
Co 0.000 0.333 0.667
Co 0.500 0.000 0.000
Tc 0.000 0.000 0.299
Tc 0.500 0.000 0.632
Tc 0.000 0.299 0.000
Tc 0.500 0.368 0.368
Tc 0.000 0.701 0.701
Tc 0.500 0.632 0.000
```

=====

no.,density of states at the Fermi level (states/eV per cell)
1,3.3
2,12.5
3,2.2
4,0.7
5,5.8
6,9.4